An optimized crystal structure of Sr3LaY, computed with PBE.

Polymorph energy (0 for the lowest one) = 32 meV per atom
Energy relative to the elements = 0.789 eV per atom
Symmetry = Pm-3m, No. 221

Unit cell a=6.1526 b=6.1526 c=6.1526 alpha=90.00 beta=90.00 gamma=90.00
With the nearest neighbours (Å) after each atom.
Atoms (fractional coordinates):
Y 0.5000 0.5000 0.5000  12 Sr 4.35
Sr 0.0000 0.5000 0.0000  2 La 3.08
Sr 0.0000 0.0000 0.5000  2 La 3.08
Sr 0.5000 0.0000 0.0000  2 La 3.08
La 0.0000 0.0000 0.0000  6 Sr 3.08


An optimized crystal structure of Er4AlZn2Pd, computed with PBE.

Energy relative to the elements = -0.516 eV per atom
Symmetry = R-3m, No. 166

Unit cell a=4.9897 b=4.9897 c=8.6508 alpha=73.24 beta=73.24 gamma=60.00
With the nearest neighbours (Å) after each atom.
Atoms (fractional coordinates):
Er 0.3781 0.3781 0.8656  1 Pd 2.98, 4 Zn 3.00-3.02, 3 Al 3.08
Er 0.8725 0.8725 0.3825  3 Pd 3.04, 4 Zn 3.11-3.12, 1 Al 3.12
Er 0.1275 0.1275 0.6175  3 Pd 3.04, 4 Zn 3.11-3.12, 1 Al 3.12
Er 0.6219 0.6219 0.1344  1 Pd 2.98, 4 Zn 3.00-3.02, 3 Al 3.08
Al 0.0000 0.0000 0.0000  8 Er 3.08-3.12
Zn 0.7453 0.7453 0.7642  8 Er 3.00-3.12
Zn 0.2547 0.2547 0.2358  8 Er 3.00-3.12
Pd 0.5000 0.5000 0.5000  8 Er 2.98-3.04


An optimized crystal structure of LaPm3Th2N6, computed with PBE.

ΔE_f (raw) = -1.50 eV/atom
Symmetry = C2/m, No. 12

Unit cell a=3.6600 b=7.3037 c=8.1562 alpha=102.71 beta=102.97 gamma=90.00
With the nearest neighbours (Å) after each atom.
Atoms (fractional coordinates):
La 0.5000 0.0000 0.0000  6 N 2.62-2.63
Pm 0.5000 0.5000 0.0000  6 N 2.55-2.62
Pm 0.8339 0.1654 0.6679  6 N 2.54-2.65
Pm 0.1661 0.8346 0.3321  6 N 2.54-2.65
Th 0.8340 0.6683 0.6680  6 N 2.49-2.55
Th 0.1660 0.3317 0.3320  6 N 2.49-2.55
N 0.3303 0.9059 0.6606  2 Th 2.53, 3 Pm 2.54-2.63, 1 La 2.63
N 0.6692 0.5769 0.3384  3 Th 2.55, 3 Pm 2.62-2.63
N 0.6697 0.0941 0.3394  2 Th 2.53, 3 Pm 2.54-2.63, 1 La 2.63
N 0.0052 0.2589 0.0104  1 Th 2.49, 3 Pm 2.55-2.65, 2 La 2.62
N 0.9948 0.7411 0.9896  1 Th 2.49, 3 Pm 2.55-2.65, 2 La 2.62
N 0.3308 0.4231 0.6616  3 Th 2.55, 3 Pm 2.62-2.63


An optimized crystal structure of P2PtPbCl, computed with PBE.

Polymorph energy (0 for the lowest one) = 1041 meV per atom
ΔE_f (raw) = 1.41 eV/atom
Symmetry = P4/mmm, No. 123

Unit cell a=5.2414 b=5.2414 c=5.0757 alpha=90.00 beta=90.00 gamma=90.00
With the nearest neighbours (Å) after each atom.
Atoms (fractional coordinates):
Pb 0.0000 0.0000 0.0000  2 Cl 2.54, 4 P 2.62
P 0.0000 0.5000 0.0000  2 Pb 2.62
P 0.5000 0.0000 0.0000  2 Pb 2.62
Pt 0.5000 0.5000 0.5000  8 P 3.65, 4 Cl 3.71
Cl 0.0000 0.0000 0.5000  2 Pb 2.54


An optimized crystal structure of RbBaPd2, computed with PBE.

Energy relative to the elements = 0.019 eV per atom
Symmetry = Fm-3m, No. 225

Unit cell a=5.5685 b=5.5685 c=5.5685 alpha=60.00 beta=60.00 gamma=60.00
With the nearest neighbours (Å) after each atom.
Atoms (fractional coordinates):
Rb 0.0000 0.0000 0.0000  8 Pd 3.41
Ba 0.5000 0.5000 0.5000  8 Pd 3.41
Pd 0.2500 0.2500 0.2500  4 Ba 3.41, 4 Rb 3.41
Pd 0.7500 0.7500 0.7500  4 Ba 3.41, 4 Rb 3.41


An optimized crystal structure of Pm3Sm3Al2Ga, computed with PBE.

Energy relative to the elements = -0.275 eV per atom
Symmetry = P-62m, No. 189

Unit cell a=3.7340 b=8.8573 c=8.8573 alpha=120.00 beta=90.00 gamma=90.00
With the nearest neighbours (Å) after each atom.
Atoms (fractional coordinates):
Pm 0.0000 0.6097 0.6097  4 Al 3.31, 1 Ga 3.46, 6 Sm 3.48-3.60
Pm 0.0000 0.0000 0.3903  4 Al 3.31, 1 Ga 3.46, 6 Sm 3.48-3.60
Pm 0.0000 0.3903 0.0000  4 Al 3.31, 1 Ga 3.46, 6 Sm 3.48-3.60
Sm 0.5000 0.7224 0.0000  2 Ga 3.09, 2 Al 3.23
Sm 0.5000 0.0000 0.7224  2 Ga 3.09, 2 Al 3.23
Sm 0.5000 0.2776 0.2776  2 Ga 3.09, 2 Al 3.23
Al 0.5000 0.6667 0.3333  3 Sm 3.23, 6 Pm 3.31
Al 0.5000 0.3333 0.6667  3 Sm 3.23, 6 Pm 3.31
Ga 0.0000 0.0000 0.0000  6 Sm 3.09, 3 Pm 3.46


An optimized crystal structure of AsPbBr, computed with PBE.

Polymorph energy (0 for the lowest one) = 407 meV per atom
ΔE_f (raw) = -0.01 eV/atom
Symmetry = P3m1, No. 156

Unit cell a=4.3586 b=4.3586 c=5.6351 alpha=90.00 beta=90.00 gamma=120.00
With the nearest neighbours (Å) after each atom.
Atoms (fractional coordinates):
Pb 0.6667 0.3333 0.7256  3 As 2.78
As 0.0000 0.0000 0.9339  3 Pb 2.78
Br 0.3333 0.6667 0.3405  3 Pb 3.32, 3 As 3.40


An optimized crystal structure of Dy13Tm2, computed with PBE.

Polymorph energy (0 for the lowest one) = 0 meV per atom
Energy relative to the elements = 0.071 eV per atom
Symmetry = P-1, No. 2

Unit cell a=6.5632 b=8.8817 c=8.8849 alpha=114.10 beta=81.59 gamma=98.43
With the nearest neighbours (Å) after each atom.
Atoms (fractional coordinates):
Dy 0.7087 0.6264 0.0218  7 Dy 3.21-3.59
Dy 0.2913 0.3736 0.9782  7 Dy 3.21-3.59
Dy 0.0000 0.0000 0.0000  12 Dy 3.46-3.77, 2 Tm 3.55
Dy 0.3095 0.0449 0.6403  5 Dy 3.20-3.58, 2 Tm 3.23-3.47
Dy 0.6905 0.9551 0.3597  5 Dy 3.20-3.58, 2 Tm 3.23-3.47
Dy 0.1044 0.5542 0.7521  4 Dy 3.20-3.55, 2 Tm 3.22-3.47
Dy 0.8956 0.4458 0.2479  4 Dy 3.20-3.55, 2 Tm 3.22-3.47
Dy 0.3978 0.6009 0.4024  11 Dy 3.46-3.76, 3 Tm 3.68-3.73
Dy 0.6022 0.3991 0.5976  11 Dy 3.46-3.76, 3 Tm 3.68-3.73
Dy 0.4896 0.8310 0.8361  4 Dy 3.20-3.46, 1 Tm 3.24
Dy 0.5104 0.1690 0.1639  4 Dy 3.20-3.46, 1 Tm 3.24
Dy 0.8035 0.1996 0.7981  12 Dy 3.46-3.78, 2 Tm 3.54-3.67
Dy 0.1965 0.8004 0.2019  12 Dy 3.46-3.78, 2 Tm 3.54-3.67
Tm 0.9034 0.7803 0.5790  7 Dy 3.22-3.55
Tm 0.0966 0.2197 0.4210  7 Dy 3.22-3.55


An optimized crystal structure of CdCu3Os, computed with PBE.

Polymorph energy (0 for the lowest one) = 0 meV per atom
Energy relative to the elements = 1.231 eV per atom
Symmetry = Pm-3m, No. 221

Unit cell a=4.6702 b=4.6702 c=4.6702 alpha=90.00 beta=90.00 gamma=90.00
With the nearest neighbours (Å) after each atom.
Atoms (fractional coordinates):
Os 0.0000 0.0000 0.0000  6 Cu 2.34
Cu 0.0000 0.5000 0.0000  2 Os 2.34
Cu 0.0000 0.0000 0.5000  2 Os 2.34
Cu 0.5000 0.0000 0.0000  2 Os 2.34
Cd 0.5000 0.5000 0.5000  12 Cu 3.30


An optimized crystal structure of Cs3Hg3Pd, computed with PBE.

Energy relative to the elements = -0.215 eV per atom
Symmetry = Cmce, No. 64

Unit cell a=7.7813 b=11.8092 c=15.3284 alpha=90.00 beta=90.00 gamma=109.24
With the nearest neighbours (Å) after each atom.
Atoms (fractional coordinates):
Cs 0.7309 0.0000 0.8412  2 Pd 3.52, 5 Hg 3.77-3.88
Cs 0.7691 0.0000 0.3412  2 Pd 3.52, 5 Hg 3.77-3.88
Cs 0.2309 0.0000 0.6588  2 Pd 3.52, 5 Hg 3.77-3.88
Cs 0.2691 0.0000 0.1588  2 Pd 3.52, 5 Hg 3.77-3.88
Cs 0.9969 0.6630 0.3637  6 Hg 3.81-4.13, 1 Pd 4.07
Cs 0.5031 0.3370 0.8637  6 Hg 3.81-4.13, 1 Pd 4.07
Cs 0.8339 0.3370 0.1363  6 Hg 3.81-4.13, 1 Pd 4.07
Cs 0.6661 0.6630 0.6363  6 Hg 3.81-4.13, 1 Pd 4.07
Cs 0.0031 0.3370 0.6363  6 Hg 3.81-4.13, 1 Pd 4.07
Cs 0.4969 0.6630 0.1363  6 Hg 3.81-4.13, 1 Pd 4.07
Cs 0.1661 0.6630 0.8637  6 Hg 3.81-4.13, 1 Pd 4.07
Cs 0.3339 0.3370 0.3637  6 Hg 3.81-4.13, 1 Pd 4.07
Hg 0.2505 0.0000 0.9058  2 Pd 2.82
Hg 0.2495 0.0000 0.4058  2 Pd 2.82
Hg 0.7505 0.0000 0.5942  2 Pd 2.82
Hg 0.7495 0.0000 0.0942  2 Pd 2.82
Hg 0.4893 0.6846 0.4054  1 Pd 2.78
Hg 0.0107 0.3154 0.9054  1 Pd 2.78
Hg 0.3047 0.3154 0.0946  1 Pd 2.78
Hg 0.1953 0.6846 0.5946  1 Pd 2.78
Hg 0.5107 0.3154 0.5946  1 Pd 2.78
Hg 0.9893 0.6846 0.0946  1 Pd 2.78
Hg 0.6953 0.6846 0.9054  1 Pd 2.78
Hg 0.8047 0.3154 0.4054  1 Pd 2.78
Pd 0.4357 0.8714 0.5000  4 Hg 2.78-2.82, 1 Pd 2.87
Pd 0.0643 0.1286 0.0000  4 Hg 2.78-2.82, 1 Pd 2.87
Pd 0.5643 0.1286 0.5000  4 Hg 2.78-2.82, 1 Pd 2.87
Pd 0.9357 0.8714 0.0000  4 Hg 2.78-2.82, 1 Pd 2.87


An optimized crystal structure of MgCdGaGe, computed with PBE.

Energy relative to the elements = 0.042 eV per atom
Symmetry = F-43m, No. 216

Unit cell a=4.8955 b=4.8955 c=4.8955 alpha=60.00 beta=60.00 gamma=60.00
With the nearest neighbours (Å) after each atom.
Atoms (fractional coordinates):
Ge 0.2500 0.2500 0.2500  4 Cd 3.00, 4 Mg 3.00
Mg 0.5000 0.5000 0.5000  4 Ga 3.00, 4 Ge 3.00
Ga 0.7500 0.7500 0.7500  4 Cd 3.00, 4 Mg 3.00
Cd 0.0000 0.0000 0.0000  4 Ge 3.00, 4 Ga 3.00


Repeat the eighth record exactly.
An optimized crystal structure of Dy13Tm2, computed with PBE.

Polymorph energy (0 for the lowest one) = 0 meV per atom
Energy relative to the elements = 0.071 eV per atom
Symmetry = P-1, No. 2

Unit cell a=6.5632 b=8.8817 c=8.8849 alpha=114.10 beta=81.59 gamma=98.43
With the nearest neighbours (Å) after each atom.
Atoms (fractional coordinates):
Dy 0.7087 0.6264 0.0218  7 Dy 3.21-3.59
Dy 0.2913 0.3736 0.9782  7 Dy 3.21-3.59
Dy 0.0000 0.0000 0.0000  12 Dy 3.46-3.77, 2 Tm 3.55
Dy 0.3095 0.0449 0.6403  5 Dy 3.20-3.58, 2 Tm 3.23-3.47
Dy 0.6905 0.9551 0.3597  5 Dy 3.20-3.58, 2 Tm 3.23-3.47
Dy 0.1044 0.5542 0.7521  4 Dy 3.20-3.55, 2 Tm 3.22-3.47
Dy 0.8956 0.4458 0.2479  4 Dy 3.20-3.55, 2 Tm 3.22-3.47
Dy 0.3978 0.6009 0.4024  11 Dy 3.46-3.76, 3 Tm 3.68-3.73
Dy 0.6022 0.3991 0.5976  11 Dy 3.46-3.76, 3 Tm 3.68-3.73
Dy 0.4896 0.8310 0.8361  4 Dy 3.20-3.46, 1 Tm 3.24
Dy 0.5104 0.1690 0.1639  4 Dy 3.20-3.46, 1 Tm 3.24
Dy 0.8035 0.1996 0.7981  12 Dy 3.46-3.78, 2 Tm 3.54-3.67
Dy 0.1965 0.8004 0.2019  12 Dy 3.46-3.78, 2 Tm 3.54-3.67
Tm 0.9034 0.7803 0.5790  7 Dy 3.22-3.55
Tm 0.0966 0.2197 0.4210  7 Dy 3.22-3.55